Computed, not measured: a relaxed CdCoO2 crystal at the GGA+U level of DFT. Values from VASP.

Results
- VASP energy (eV/atom) = -4.710
- crystal system = tetragonal
- calculated density (g/cm³) = 7.13

Cell and atoms, written as Quantum ESPRESSO input:
```
&SYSTEM
  ibrav = 0, nat = 8, ntyp = 3
/
ATOMIC_SPECIES
Co 58.93 Co.upf
O 16.00 O.upf
Cd 112.41 Cd.upf
ATOMIC_POSITIONS crystal
Co 0.7500 0.2500 0.5000
Co 0.2500 0.7500 0.5000
O 0.8214 0.3214 0.0000
O 0.1786 0.6786 0.0000
O 0.3214 0.1786 0.0000
O 0.6786 0.8214 0.0000
Cd 0.7500 0.7500 0.5000
Cd 0.2500 0.2500 0.5000
CELL_PARAMETERS angstrom
5.8031 0.0000 0.0000
0.0000 5.8031 0.0000
2.9015 2.9015 2.8109
```